(1)
# La2PmSi | Alexandria | PBE-GGA | optimized geometry
# **Polymorph energy (0 for the lowest one)**: 239.3 meV/atom
# **Formation energy without anion corrections**: -3.312 kcal/mol of atoms
# **Total magnetization**: 0.0 μB per formula unit
# **E_tot**: -5.15 eV per atom
data_La2PmSi
_space_group_name_H-M_alt 'R 3 m'
_space_group_IT_number 160
_space_group_name_Hall 'R 3 -2"'
_cell_length_a 4.0976
_cell_length_b 4.0976
_cell_length_c 28.4942
_cell_angle_alpha 90.00
_cell_angle_beta 90.00
_cell_angle_gamma 120.00
loop_
_atom_site_label
_atom_site_fract_x
_atom_site_fract_y
_atom_site_fract_z
_atom_site_occupancy
La1 0.0000 0.0000 0.0000 1
La2 0.0000 0.0000 0.2082 1
Pm1 0.0000 0.0000 0.7696 1
Si1 0.0000 0.0000 0.6046 1



(2)
# Pm2HoSn2Hg2 | Alexandria | PBE-GGA | optimized geometry
# **Total magnetization**: 0.0 μB per formula unit
# **E_tot**: -3.56 eV per atom
# **Calculated formation energy**: -0.318 eV/atom
data_Pm2HoSn2Hg2
_space_group_name_H-M_alt 'R -3 m'
_space_group_IT_number 166
_space_group_name_Hall '-R 3 2"'
_cell_length_a 5.0006
_cell_length_b 5.0006
_cell_length_c 27.1836
_cell_angle_alpha 90.00
_cell_angle_beta 90.00
_cell_angle_gamma 120.00
loop_
_atom_site_label
_atom_site_fract_x
_atom_site_fract_y
_atom_site_fract_z
_atom_site_occupancy
Pm1 0.0000 0.0000 0.1294 1
Ho1 0.0000 0.0000 0.0000 1
Sn1 0.0000 0.0000 0.2743 1
Hg1 0.0000 0.0000 0.4268 1